[1]
Compound: CeHgRhAu
Source: the Alexandria database
Functional: GGA-PBE
Structure: optimized geometry

Cell: 6.937 6.937 6.937 Å, 90.00 90.00 90.00°
Space group F-43m (No. 216)
Asymmetric unit:
Ce 0.000 0.000 0.000 (multiplicity 4)
Hg 0.000 0.000 0.500 (multiplicity 4)
Rh 0.250 0.250 0.250 (multiplicity 4)
Au 0.250 0.250 0.750 (multiplicity 4)

* VASP energy: -4.638 eV/atom
* magnetic moment: 0.33 μB/f.u.
* energy of formation from the pure elements: -40.7 kJ per mole of atoms

[2]
Compound: CeScHgAu
Source: the Alexandria database
Functional: GGA-PBE
Structure: optimized geometry

Cell: 7.261 7.261 7.261 Å, 90.00 90.00 90.00°
Space group F-43m (No. 216)
Asymmetric unit:
Ce 0.000 0.000 0.000 (multiplicity 4)
Sc 0.000 0.000 0.500 (multiplicity 4)
Hg 0.250 0.250 0.250 (multiplicity 4)
Au 0.250 0.250 0.750 (multiplicity 4)

* VASP energy: -4.430 eV/atom
* magnetic moment: 0.77 μB/f.u.
* energy of formation from the pure elements: -45.2 kJ per mole of atoms

[3]
Compound: TbCeHgAu
Source: the Alexandria database
Functional: GGA-PBE
Structure: optimized geometry

Cell: 7.443 7.443 7.443 Å, 90.00 90.00 90.00°
Space group F-43m (No. 216)
Asymmetric unit:
Tb 0.000 0.000 0.000 (multiplicity 4)
Ce 0.000 0.000 0.500 (multiplicity 4)
Hg 0.250 0.250 0.750 (multiplicity 4)
Au 0.250 0.250 0.250 (multiplicity 4)

* VASP energy: -4.060 eV/atom
* magnetic moment: 0.93 μB/f.u.
* energy of formation from the pure elements: -50.6 kJ per mole of atoms
* distance to the lowest polymorph of the same formula: 11.9 kJ/mol of formula units

[4]
Compound: TbCeHgAu
Source: the Alexandria database
Functional: GGA-PBE
Structure: optimized geometry

Cell: 3.665 3.665 7.654 Å, 90.00 90.00 90.00°
Space group P4mm (No. 99)
Asymmetric unit:
Tb 0.000 0.000 0.000 (multiplicity 1)
Ce 0.000 0.000 0.475 (multiplicity 1)
Hg 0.500 0.500 0.748 (multiplicity 1)
Au 0.500 0.500 0.215 (multiplicity 1)

* VASP energy: -4.091 eV/atom
* magnetic moment: 1.25 μB/f.u.
* energy of formation from the pure elements: -53.5 kJ per mole of atoms
* distance to the lowest polymorph of the same formula: 0.0 kJ/mol of formula units

[5]
Compound: CeTlHgAu
Source: the Alexandria database
Functional: GGA-PBE
Structure: optimized geometry

Cell: 7.347 7.347 7.347 Å, 90.00 90.00 90.00°
Space group F-43m (No. 216)
Asymmetric unit:
Ce 0.000 0.000 0.000 (multiplicity 4)
Tl 0.000 0.000 0.500 (multiplicity 4)
Hg 0.250 0.250 0.750 (multiplicity 4)
Au 0.250 0.250 0.250 (multiplicity 4)

* VASP energy: -3.361 eV/atom
* magnetic moment: 0.99 μB/f.u.
* energy of formation from the pure elements: -37.7 kJ per mole of atoms

[6]
Compound: CeYHgAu
Source: the Alexandria database
Functional: GGA-PBE
Structure: optimized geometry

Cell: 7.440 7.440 7.440 Å, 90.00 90.00 90.00°
Space group F-43m (No. 216)
Asymmetric unit:
Ce 0.000 0.000 0.000 (multiplicity 4)
Y 0.000 0.000 0.500 (multiplicity 4)
Hg 0.250 0.250 0.750 (multiplicity 4)
Au 0.250 0.250 0.250 (multiplicity 4)

* VASP energy: -4.525 eV/atom
* magnetic moment: 0.85 μB/f.u.
* energy of formation from the pure elements: -51.2 kJ per mole of atoms

What did the first record say?
Compound: CeHgRhAu
Source: the Alexandria database
Functional: GGA-PBE
Structure: optimized geometry

Cell: 6.937 6.937 6.937 Å, 90.00 90.00 90.00°
Space group F-43m (No. 216)
Asymmetric unit:
Ce 0.000 0.000 0.000 (multiplicity 4)
Hg 0.000 0.000 0.500 (multiplicity 4)
Rh 0.250 0.250 0.250 (multiplicity 4)
Au 0.250 0.250 0.750 (multiplicity 4)

* VASP energy: -4.638 eV/atom
* magnetic moment: 0.33 μB/f.u.
* energy of formation from the pure elements: -40.7 kJ per mole of atoms

Look up the energy of formation from the pure elements of the fourth one. -53.5 kJ per mole of atoms

Which value of energy of formation from the pure elements does entry 4 give? -53.5 kJ per mole of atoms